# Li2CoBiN PBE relaxed
# Theoretical density in g cm⁻³: 7.18
# Formation energy from raw total energies in eV per atom: -0.203
data_Li2CoBiN
_chemical_formula_sum 'Li2 Co1 Bi1 N1'
_cell_length_a 4.369
_cell_length_b 4.369
_cell_length_c 3.581
_cell_angle_alpha 90.00
_cell_angle_beta 90.00
_cell_angle_gamma 90.00
_space_group_name_H-M_alt 'P 4/m m m'
_space_group_IT_number 123
_space_group_name_Hall '-P 4 2'
loop_
_atom_site_label
_atom_site_type_symbol
_atom_site_fract_x
_atom_site_fract_y
_atom_site_fract_z
Li1 Li 0.000 0.500 0.000
Co1 Co 0.000 0.000 0.500
Bi1 Bi 0.500 0.500 0.500
N1 N 0.000 0.000 0.000